Entry 1:
A plane-wave DFT calculation with GGA-PBE was carried out for a relaxed Tm12Sb3Ir5 crystal.

**Size of the total moment**: 0.00 μB/atom
**Crystal system**: cubic
**Electronic total energy**: -5.9704 eV per atom
**SG**: Ia-3d (230)

Cell: 14.611 14.611 14.611 Å, 109.47 109.47 109.47°
Atoms (fractional coordinates):
Ir (0.750, 0.625, 0.375)
Ir (0.125, 0.375, 0.250)
Ir (0.500, 0.500, 0.500)
Ir (0.750, 0.125, 0.875)
Ir (0.875, 0.625, 0.750)
Ir (0.250, 0.875, 0.125)
Ir (0.375, 0.125, 0.750)
Ir (0.625, 0.875, 0.250)
Ir (0.500, 0.000, 0.500)
Ir (0.000, 0.000, 0.500)
Ir (0.500, 0.000, 0.000)
Ir (0.875, 0.250, 0.625)
Ir (0.500, 0.500, 0.000)
Ir (0.375, 0.250, 0.125)
Ir (0.625, 0.750, 0.875)
Ir (0.250, 0.375, 0.625)
Ir (0.000, 0.500, 0.500)
Ir (0.125, 0.750, 0.375)
Ir (0.000, 0.000, 0.000)
Ir (0.000, 0.500, 0.000)
Tm (0.118, 0.704, 0.530)
Tm (0.326, 0.796, 0.413)
Tm (0.674, 0.470, 0.587)
Tm (0.882, 0.296, 0.470)
Tm (0.913, 0.826, 0.796)
Tm (0.530, 0.326, 0.913)
Tm (0.587, 0.618, 0.413)
Tm (0.030, 0.413, 0.826)
Tm (0.087, 0.174, 0.204)
Tm (0.118, 0.413, 0.087)
Tm (0.826, 0.913, 0.296)
Tm (0.087, 0.174, 0.470)
Tm (0.204, 0.674, 0.087)
Tm (0.674, 0.204, 0.587)
Tm (0.174, 0.087, 0.704)
Tm (0.587, 0.882, 0.413)
Tm (0.470, 0.796, 0.882)
Tm (0.326, 0.530, 0.413)
Tm (0.913, 0.087, 0.618)
Tm (0.413, 0.118, 0.587)
Tm (0.970, 0.382, 0.296)
Tm (0.796, 0.326, 0.913)
Tm (0.413, 0.296, 0.326)
Tm (0.913, 0.087, 0.882)
Tm (0.704, 0.118, 0.030)
Tm (0.174, 0.087, 0.970)
Tm (0.618, 0.030, 0.204)
Tm (0.296, 0.882, 0.970)
Tm (0.470, 0.674, 0.087)
Tm (0.413, 0.382, 0.587)
Tm (0.618, 0.587, 0.913)
Tm (0.296, 0.413, 0.826)
Tm (0.530, 0.204, 0.118)
Tm (0.796, 0.470, 0.382)
Tm (0.204, 0.530, 0.618)
Tm (0.826, 0.913, 0.030)
Tm (0.913, 0.826, 0.530)
Tm (0.382, 0.413, 0.087)
Tm (0.087, 0.913, 0.382)
Tm (0.882, 0.587, 0.913)
Tm (0.030, 0.618, 0.704)
Tm (0.413, 0.030, 0.326)
Tm (0.704, 0.587, 0.174)
Tm (0.587, 0.704, 0.674)
Tm (0.382, 0.970, 0.796)
Tm (0.970, 0.587, 0.174)
Tm (0.587, 0.970, 0.674)
Tm (0.087, 0.913, 0.118)
Sb (0.625, 0.250, 0.375)
Sb (0.250, 0.125, 0.375)
Sb (0.375, 0.750, 0.625)
Sb (0.750, 0.875, 0.625)
Sb (0.125, 0.875, 0.750)
Sb (0.375, 0.625, 0.250)
Sb (0.875, 0.750, 0.125)
Sb (0.625, 0.375, 0.750)
Sb (0.125, 0.250, 0.875)
Sb (0.875, 0.125, 0.250)
Sb (0.250, 0.625, 0.875)
Sb (0.750, 0.375, 0.125)

Entry 2:
A plane-wave DFT calculation with GGA-PBE was carried out for a relaxed Ti3BiTe crystal.

**Size of the total moment**: 0.00 μB/atom
**Crystal system**: monoclinic
**Electronic total energy**: -6.5230 eV per atom
**Polymorph energy (0 for the lowest one)**: 0 kJ/mol of formula units
**SG**: P2_1/m (11)

Cell: 3.664 7.211 8.065 Å, 85.74 90.00 90.00°
Atoms (fractional coordinates):
Bi (0.750, 0.233, 0.189)
Bi (0.250, 0.767, 0.811)
Ti (0.750, 0.631, 0.069)
Ti (0.250, 0.369, 0.931)
Ti (0.750, 0.509, 0.665)
Ti (0.250, 0.491, 0.335)
Ti (0.250, 0.924, 0.143)
Ti (0.750, 0.076, 0.857)
Te (0.250, 0.228, 0.609)
Te (0.750, 0.772, 0.391)

Entry 3:
A plane-wave DFT calculation with GGA-PBE was carried out for a relaxed CaCoC2 crystal.

**Size of the total moment**: 0.00 μB/atom
**Crystal system**: tetragonal
**Electronic total energy**: -6.4279 eV per atom
**DFT formation energy**: 461 meV/atom
**SG**: I4_1/amd (141)

Cell: 4.136 4.136 6.671 Å, 71.94 71.94 90.00°
Atoms (fractional coordinates):
Co (0.000, 0.000, 0.000)
Co (0.750, 0.250, 0.500)
C (0.875, 0.125, 0.250)
C (0.375, 0.125, 0.750)
C (0.875, 0.125, 0.750)
C (0.875, 0.625, 0.250)
Ca (0.500, 0.500, 0.000)
Ca (0.250, 0.750, 0.500)

Entry 4:
A plane-wave DFT calculation with GGA-PBE was carried out for a relaxed La2HCl crystal.

**Size of the total moment**: 0.00 μB/atom
**Crystal system**: cubic
**Electronic total energy**: -4.2777 eV per atom
**Polymorph energy (0 for the lowest one)**: 182 kJ/mol of formula units
**SG**: Fm-3m (225)

Cell: 4.981 4.981 4.981 Å, 60.00 60.00 60.00°
Atoms (fractional coordinates):
La (0.750, 0.750, 0.750)
La (0.250, 0.250, 0.250)
H (0.000, 0.000, 0.000)
Cl (0.500, 0.500, 0.500)

electronic total energy of number 2 (Ti3BiTe)?
-6.5230 eV per atom